The following is a DFT calculation (PBE-GGA) of crystalline YTmGaSe at its relaxed geometry.

Its raw total energy is -5.524 eV/atom. For the energy relative to the elements, uncorrected, the calculation gives -1.16 eV per atom.

Cell and atoms, written as CIF:
```
data_YTmGaSe
_cell_length_a 3.9328
_cell_length_b 3.9328
_cell_length_c 21.8493
_cell_angle_alpha 90.00
_cell_angle_beta 90.00
_cell_angle_gamma 120.00
_symmetry_space_group_name_H-M 'R 3 m'
_symmetry_Int_Tables_number 160
_symmetry_space_group_name_Hall 'R 3 -2"'
loop_
_atom_site_label
_atom_site_type_symbol
_atom_site_fract_x
_atom_site_fract_y
_atom_site_fract_z
Y1 Y 0.0000 0.0000 0.0000
Tm1 Tm 0.0000 0.0000 0.5023
Ga1 Ga 0.0000 0.0000 0.7525
Se1 Se 0.0000 0.0000 0.2497
```